1.
DFT (GGA-PBE) results for a relaxed Ce2ZnCoRh crystal.

ΔH_f (0 K): -425 meV per atom
magnetization: 0.01 μB/cell

Unit cell a=4.824 b=6.932 c=7.319 alpha=121.80 beta=90.00 gamma=90.00
Element x y z (fractional)
Ce 0.750 0.766 0.649
Ce 0.750 0.766 0.116
Ce 0.250 0.234 0.351
Ce 0.250 0.234 0.884
Zn 0.250 0.708 0.354
Zn 0.750 0.292 0.646
Co 0.250 0.952 0.976
Co 0.750 0.048 0.024
Rh 0.250 0.519 0.759
Rh 0.750 0.481 0.241

2.
DFT (GGA-PBE) results for a relaxed CeZrCoRh crystal.

ΔH_f (0 K): -340 meV per atom
magnetization: 0.45 μB/cell

Unit cell a=4.720 b=4.720 c=4.720 alpha=60.00 beta=60.00 gamma=60.00
Site moments in Bohr magnetons follow the coordinates.
Element x y z (fractional)
Co 0.500 0.500 0.500  0.10
Rh 0.000 0.000 0.000  0.00
Zr 0.750 0.750 0.750  0.04
Ce 0.250 0.250 0.250  0.25